Computed, not measured: crystalline CrFePd2O6 at its relaxed geometry at the PBE with a Hubbard U level of DFT.

Values from the calculation:
calculated total energy: -121.36 eV for the cell shown
calculated volume: 10.8 Å³ per atom
spin magnetization: 4.00 Bohr magnetons per cell

POSCAR file:
```
CrFePd2O6
1.0
-3.5730 1.3753 -3.9459
-6.1300 -2.4780 2.2837
-4.7483 3.9570 3.2755
O Pd Fe Cr
12 4 2 2
Cartesian
-6.6626 2.5088 0.0575
-11.2640 1.7921 0.1979
-5.2129 0.6357 -0.7292
-3.1872 1.0622 1.4155
-9.2383 2.2186 2.3425
-7.0428 3.7820 2.1954
-5.3125 -0.2110 1.7172
-4.5750 3.2604 2.1423
-9.8762 -0.4060 -0.5290
-7.7886 0.3455 1.5558
-7.4084 -0.9277 -0.5821
-9.1387 3.0653 -0.1039
-3.7740 -0.4161 0.3568
-10.6772 3.2704 1.2565
-5.0903 2.4615 -1.2786
-9.3609 0.3928 2.8919
-7.5893 4.2373 0.2003
-6.8619 -1.3830 1.4130
-8.3092 0.8847 -0.3164
-6.1420 1.9697 1.9297
```